Record 1
# SrTlZnO4 GGA-PBE optimized geometry
# Total magnetization ... 2.061 μB/cell
# Space-group type ... P2_1/m
# DOS at the Fermi energy ... 7.446 states/eV per cell
# Formation energy (no corrections) ... -8.700 eV per formula unit
data_SrTlZnO4
_space_group_name_H-M_alt 'P 1'
_space_group_IT_number 1
_cell_length_a 6.001
_cell_length_b 5.487
_cell_length_c 6.973
_cell_angle_alpha 90.00
_cell_angle_beta 109.71
_cell_angle_gamma 90.00
loop_
_space_group_symop_operation_xyz
'x,y,z'
loop_
_atom_site_label
_atom_site_fract_x
_atom_site_fract_y
_atom_site_fract_z
Sr1 0.214 0.250 0.443
Sr2 0.786 0.750 0.557
Tl1 0.301 0.250 0.945
Tl2 0.699 0.750 0.055
Zn1 0.239 0.750 0.186
Zn2 0.761 0.250 0.814
O1 0.008 0.250 0.078
O2 0.037 0.750 0.350
O3 0.495 0.509 0.224
O4 0.495 0.991 0.224
O5 0.505 0.009 0.776
O6 0.505 0.491 0.776
O7 0.963 0.250 0.650
O8 0.992 0.750 0.922

Record 2
# SrTlZnO3 GGA-PBE optimized geometry
# Total magnetization ... 0.141 μB/cell
# Space-group type ... P2_1/m
# DOS at the Fermi energy ... 5.682 states/eV per cell
# Formation energy (no corrections) ... -8.686 eV per formula unit
data_SrTlZnO3
_space_group_name_H-M_alt 'P 1'
_space_group_IT_number 1
_cell_length_a 7.592
_cell_length_b 3.453
_cell_length_c 7.764
_cell_angle_alpha 90.00
_cell_angle_beta 94.07
_cell_angle_gamma 90.00
loop_
_space_group_symop_operation_xyz
'x,y,z'
loop_
_atom_site_label
_atom_site_fract_x
_atom_site_fract_y
_atom_site_fract_z
Sr1 0.155 0.250 0.184
Sr2 0.845 0.750 0.816
Tl1 0.378 0.750 0.832
Tl2 0.622 0.250 0.168
Zn1 0.124 0.250 0.596
Zn2 0.876 0.750 0.404
O1 0.110 0.250 0.850
O2 0.155 0.750 0.465
O3 0.394 0.750 0.130
O4 0.606 0.250 0.870
O5 0.845 0.250 0.535
O6 0.890 0.750 0.150

Record 3
# SrZrTl2O6 GGA-PBE optimized geometry
# Total magnetization ... 0.000 μB/cell
# Space-group type ... R3
# Formation energy (no corrections) ... -18.761 eV per formula unit
data_SrZrTl2O6
_space_group_name_H-M_alt 'P 1'
_space_group_IT_number 1
_cell_length_a 6.166
_cell_length_b 6.166
_cell_length_c 6.166
_cell_angle_alpha 56.78
_cell_angle_beta 56.78
_cell_angle_gamma 56.78
loop_
_space_group_symop_operation_xyz
'x,y,z'
loop_
_atom_site_label
_atom_site_fract_x
_atom_site_fract_y
_atom_site_fract_z
Sr1 0.000 0.000 0.000
Zr1 0.490 0.490 0.490
Tl1 0.275 0.275 0.275
Tl2 0.777 0.777 0.777
O1 0.109 0.648 0.419
O2 0.214 0.571 0.862
O3 0.419 0.109 0.648
O4 0.571 0.862 0.214
O5 0.648 0.419 0.109
O6 0.862 0.214 0.571

Record 4
# Sr2TmO3 GGA-PBE optimized geometry
# Total magnetization ... 0.000 μB/cell
# Space-group type ... C2/c
# DOS at the Fermi energy ... 2.749 states/eV per cell
# Formation energy (no corrections) ... -16.382 eV per formula unit
data_Sr2TmO3
_space_group_name_H-M_alt 'P 1'
_space_group_IT_number 1
_cell_length_a 6.214
_cell_length_b 6.214
_cell_length_c 7.030
_cell_angle_alpha 106.40
_cell_angle_beta 106.40
_cell_angle_gamma 47.59
loop_
_space_group_symop_operation_xyz
'x,y,z'
loop_
_atom_site_label
_atom_site_fract_x
_atom_site_fract_y
_atom_site_fract_z
Sr1 0.168 0.168 0.084
Sr2 0.168 0.168 0.584
Sr3 0.832 0.832 0.416
Sr4 0.832 0.832 0.916
Tm1 0.499 0.501 0.750
Tm2 0.501 0.499 0.250
O1 0.002 0.998 0.750
O2 0.359 0.359 0.430
O3 0.359 0.359 0.930
O4 0.641 0.641 0.070
O5 0.641 0.641 0.570
O6 0.998 0.002 0.250

Record 5
# Sr5TmO6 GGA-PBE optimized geometry
# Total magnetization ... 0.000 μB/cell
# Space-group type ... C2/m
# DOS at the Fermi energy ... 1.666 states/eV per cell
# Formation energy (no corrections) ... -32.994 eV per formula unit
data_Sr5TmO6
_space_group_name_H-M_alt 'P 1'
_space_group_IT_number 1
_cell_length_a 6.264
_cell_length_b 6.264
_cell_length_c 6.253
_cell_angle_alpha 99.60
_cell_angle_beta 99.60
_cell_angle_gamma 120.01
loop_
_space_group_symop_operation_xyz
'x,y,z'
loop_
_atom_site_label
_atom_site_fract_x
_atom_site_fract_y
_atom_site_fract_z
Sr1 0.000 0.000 0.000
Sr2 0.167 0.833 0.500
Sr3 0.333 0.667 0.000
Sr4 0.667 0.333 0.000
Sr5 0.833 0.167 0.500
Tm1 0.500 0.500 0.500
O1 0.119 0.423 0.269
O2 0.274 0.274 0.732
O3 0.423 0.119 0.269
O4 0.577 0.881 0.731
O5 0.726 0.726 0.268
O6 0.881 0.577 0.731

Record 6
# Sr2TmUO6 GGA-PBE optimized geometry
# Total magnetization ... 2.000 μB/cell
# Space-group type ... P2_1/c
# Formation energy (no corrections) ... -33.073 eV per formula unit
data_Sr2TmUO6
_space_group_name_H-M_alt 'P 1'
_space_group_IT_number 1
_cell_length_a 5.962
_cell_length_b 6.079
_cell_length_c 10.375
_cell_angle_alpha 90.00
_cell_angle_beta 125.05
_cell_angle_gamma 90.00
loop_
_space_group_symop_operation_xyz
'x,y,z'
loop_
_atom_site_label
_atom_site_fract_x
_atom_site_fract_y
_atom_site_fract_z
Sr1 0.239 0.042 0.249
Sr2 0.239 0.458 0.749
Sr3 0.761 0.542 0.251
Sr4 0.761 0.958 0.751
Tm1 0.000 0.000 0.500
Tm2 0.000 0.500 0.000
U1 0.500 0.000 0.000
U2 0.500 0.500 0.500
O1 0.161 0.201 0.951
O2 0.161 0.299 0.451
O3 0.247 0.711 0.948
O4 0.247 0.789 0.448
O5 0.349 0.034 0.755
O6 0.349 0.466 0.255
O7 0.651 0.534 0.745
O8 0.651 0.966 0.245
O9 0.753 0.211 0.552
O10 0.753 0.289 0.052
O11 0.839 0.701 0.549
O12 0.839 0.799 0.049

Record 7
# SrTmUO6 GGA-PBE optimized geometry
# Total magnetization ... 2.105 μB/cell
# Space-group type ... P4_2nm
# DOS at the Fermi energy ... 14.967 states/eV per cell
# Formation energy (no corrections) ... -27.007 eV per formula unit
data_SrTmUO6
_space_group_name_H-M_alt 'P 1'
_space_group_IT_number 1
_cell_length_a 5.240
_cell_length_b 5.240
_cell_length_c 10.560
_cell_angle_alpha 90.00
_cell_angle_beta 90.00
_cell_angle_gamma 90.00
loop_
_space_group_symop_operation_xyz
'x,y,z'
loop_
_atom_site_label
_atom_site_fract_x
_atom_site_fract_y
_atom_site_fract_z
Sr1 0.000 0.000 0.000
Sr2 0.500 0.500 0.500
Tm1 0.000 0.000 0.332
Tm2 0.500 0.500 0.832
U1 0.000 0.000 0.663
U2 0.500 0.500 0.163
O1 0.172 0.172 0.509
O2 0.199 0.199 0.803
O3 0.216 0.216 0.182
O4 0.284 0.716 0.682
O5 0.301 0.699 0.303
O6 0.328 0.672 0.009
O7 0.672 0.328 0.009
O8 0.699 0.301 0.303
O9 0.716 0.284 0.682
O10 0.784 0.784 0.182
O11 0.801 0.801 0.803
O12 0.828 0.828 0.509

Repeat the first record exactly.
# SrTlZnO4 GGA-PBE optimized geometry
# Total magnetization ... 2.061 μB/cell
# Space-group type ... P2_1/m
# DOS at the Fermi energy ... 7.446 states/eV per cell
# Formation energy (no corrections) ... -8.700 eV per formula unit
data_SrTlZnO4
_space_group_name_H-M_alt 'P 1'
_space_group_IT_number 1
_cell_length_a 6.001
_cell_length_b 5.487
_cell_length_c 6.973
_cell_angle_alpha 90.00
_cell_angle_beta 109.71
_cell_angle_gamma 90.00
loop_
_space_group_symop_operation_xyz
'x,y,z'
loop_
_atom_site_label
_atom_site_fract_x
_atom_site_fract_y
_atom_site_fract_z
Sr1 0.214 0.250 0.443
Sr2 0.786 0.750 0.557
Tl1 0.301 0.250 0.945
Tl2 0.699 0.750 0.055
Zn1 0.239 0.750 0.186
Zn2 0.761 0.250 0.814
O1 0.008 0.250 0.078
O2 0.037 0.750 0.350
O3 0.495 0.509 0.224
O4 0.495 0.991 0.224
O5 0.505 0.009 0.776
O6 0.505 0.491 0.776
O7 0.963 0.250 0.650
O8 0.992 0.750 0.922